--- A ---
Entry from Alexandria: a geometry-optimized La2CoI structure (PBE).

- SG = R3m, No. 160
- calculated volume (Å³/atom) = 30.38

Cell: 4.111 4.111 8.634 Å, 76.23 76.23 60.00°
Positions (direct):
Co (0.667, 0.667, 0.998)
La (0.273, 0.273, 0.181)
La (0.060, 0.060, 0.819)
I (0.499, 0.499, 0.502)

***

--- B ---
Entry from Alexandria: a geometry-optimized La2CoI structure (PBE).

- SG = I-42d, No. 122
- calculated volume (Å³/atom) = 31.66

Cell: 7.784 7.784 6.912 Å, 55.73 55.73 90.00°
Positions (direct):
Co (0.500, 0.500, 0.000)
Co (0.250, 0.750, 0.500)
La (0.375, 0.457, 0.750)
La (0.207, 0.625, 0.250)
La (0.543, 0.125, 0.250)
La (0.875, 0.793, 0.750)
I (0.000, 0.000, 0.000)
I (0.750, 0.250, 0.500)

***

Energy above the most stable structure, in kJ/mol of atoms: A 0.0; B 28.0

***

--- A ---
Entry from Alexandria: a geometry-optimized La3CoI structure (PBE).

- SG = Pm-3m, No. 221
- calculated volume (Å³/atom) = 32.57

Cell: 5.461 5.461 5.461 Å, 90.00 90.00 90.00°
Positions (direct):
La (0.500, 0.000, 0.000)
La (0.000, 0.500, 0.000)
La (0.000, 0.000, 0.500)
Co (0.000, 0.000, 0.000)
I (0.500, 0.500, 0.500)

***

--- B ---
Entry from Alexandria: a geometry-optimized La3CoI structure (PBE).

- SG = Pmmn, No. 59
- calculated volume (Å³/atom) = 30.60

Cell: 4.157 7.021 10.483 Å, 90.00 90.00 90.00°
Positions (direct):
I (0.250, 0.250, 0.351)
I (0.750, 0.750, 0.649)
La (0.750, 0.250, 0.601)
La (0.250, 0.496, 0.859)
La (0.750, 0.996, 0.141)
La (0.250, 0.004, 0.859)
La (0.250, 0.750, 0.399)
La (0.750, 0.504, 0.141)
Co (0.250, 0.750, 0.112)
Co (0.750, 0.250, 0.888)

***

Energy above the most stable structure, in kJ/mol of atoms: A 16.7; B 0.0

***

--- A ---
Entry from Alexandria: a geometry-optimized LaCo3I structure (PBE).

- SG = Pm-3m, No. 221
- calculated volume (Å³/atom) = 21.75

Cell: 4.773 4.773 4.773 Å, 90.00 90.00 90.00°
Last column: magnetic moment on the atom in μB.
Positions (direct):
Co (0.500, 0.000, 0.000)  0.80
Co (0.000, 0.500, 0.000)  0.95
Co (0.000, 0.000, 0.500)  0.97
I (0.500, 0.500, 0.500)  0.08
La (0.000, 0.000, 0.000)  -0.24

***

--- B ---
Entry from Alexandria: a geometry-optimized LaCo3I structure (PBE).

- SG = Pm-3m, No. 221
- calculated volume (Å³/atom) = 20.36

Cell: 4.669 4.669 4.669 Å, 90.00 90.00 90.00°
Last column: magnetic moment on the atom in μB.
Positions (direct):
Co (0.000, 0.500, 0.000)  0.63
Co (0.000, 0.000, 0.500)  0.39
Co (0.500, 0.000, 0.000)  0.65
La (0.500, 0.500, 0.500)  -0.12
I (0.000, 0.000, 0.000)  -0.02

***

Energy above the most stable structure, in kJ/mol of atoms: A 71.9; B 0.0